Compound: NpNbNi
Source: OQMD
Functional: GGA-PBE
Structure: relaxed

Computed properties:
Distance to the lowest polymorph of the same formula ... 0 meV/atom
ΔH_f (0 K) ... 0.60 eV per atom
Space group ... F-43m
Crystal system ... cubic

Cell: 4.310 4.310 4.310 Å, 60.00 60.00 60.00°
Fractional coordinates of all 3 atoms:
Nb1 0.750 0.750 0.750
Ni1 0.000 0.000 0.000
Np1 0.250 0.250 0.250